Compound: TaZnHg2
Source: Alexandria
Functional: GGA-PBE
Structure: optimized geometry

* total DFT energy (no corrections): -3.005 eV/atom
* ΔH_f (0 K): 0.4276 eV per atom

Unit cell a=5.0376 b=5.0376 c=3.0753 alpha=90.00 beta=90.00 gamma=90.00
Last column: nearest neighbours and their distance in Å.
Element x y z (fractional)
Ta (0.0000, 0.0000, 0.0000)  8 Hg 2.95, 2 Ta 3.08
Zn (0.5000, 0.5000, 0.0000)  8 Hg 2.95, 2 Zn 3.08
Hg (0.0000, 0.5000, 0.5000)  4 Zn 2.95, 4 Ta 2.95, 2 Hg 3.08
Hg (0.5000, 0.0000, 0.5000)  4 Zn 2.95, 4 Ta 2.95, 2 Hg 3.08

=====

Compound: Pu4PtRh2
Source: Alexandria
Functional: GGA-PBE
Structure: optimized geometry

* polymorph energy (0 for the lowest one): 165 meV per atom
* total DFT energy (no corrections): -11.470 eV/atom
* ΔH_f (0 K): -0.3174 eV per atom

Unit cell a=7.3636 b=7.5276 c=7.6065 alpha=110.63 beta=114.26 gamma=102.56
Last column: nearest neighbours and their distance in Å.
Element x y z (fractional)
Pu (0.0000, 0.0000, 0.0000)  3 Rh 2.83-2.96, 2 Pt 2.87
Pu (0.0056, 0.1338, 0.5757)  3 Rh 2.73-3.04, 2 Pt 2.77-2.98, 1 Pu 3.02
Pu (0.0913, 0.4801, 0.3923)  3 Rh 2.85-2.97, 2 Pt 3.00-3.12
Pu (0.3635, 0.0082, 0.7899)  1 Pt 2.75, 3 Rh 2.93-2.97, 1 Pu 3.02
Pu (0.4813, 0.8753, 0.3753)  3 Rh 2.79-2.99, 1 Pt 3.06
Pu (0.5609, 0.5893, 0.9895)  3 Rh 2.81-2.95, 2 Pt 2.90-2.93
Pu (0.5837, 0.3594, 0.3608)  2 Rh 2.68-2.72, 2 Pt 2.79-2.92, 1 Pu 2.93
Pu (0.9034, 0.5011, 0.8262)  1 Rh 2.78, 1 Pt 2.83, 1 Pu 2.93
Pt (0.2353, 0.4002, 0.0671)  7 Pu 2.79-3.06
Pt (0.7057, 0.0406, 0.1515)  5 Pu 2.75-2.93
Rh (0.0468, 0.7873, 0.2587)  6 Pu 2.78-3.04, 2 Rh 2.92-2.98
Rh (0.3740, 0.2352, 0.5476)  5 Pu 2.72-2.99, 1 Rh 2.98
Rh (0.5564, 0.7105, 0.6784)  6 Pu 2.81-3.00, 2 Rh 2.99-3.15, 1 Pt 3.10
Rh (0.8829, 0.7468, 0.5397)  5 Pu 2.68-2.97, 2 Rh 2.92-2.99

=====

Number 2 is which compound?
Pu4PtRh2